No. 1
# GGA-PBE PPtCl2F, optimized geometry
# Uncorrected formation energy ... 0.597 eV per atom
# Energy above the most stable polymorph in this dataset ... 421 meV/atom
# E ... -14.03 eV for the cell shown
data_PPtCl2F
_chemical_formula_sum 'P1 Pt1 Cl2 F1'
_cell_length_a 5.2062
_cell_length_b 5.2062
_cell_length_c 3.5395
_cell_angle_alpha 90.00
_cell_angle_beta 90.00
_cell_angle_gamma 90.00
_symmetry_space_group_name_H-M 'P 4/m m m'
_symmetry_Int_Tables_number 123
_symmetry_space_group_name_Hall '-P 4 2'
loop_
_atom_site_label
_atom_site_type_symbol
_atom_site_fract_x
_atom_site_fract_y
_atom_site_fract_z
P1 P 0.0000 0.0000 0.0000
Pt1 Pt 0.5000 0.5000 0.0000
Cl1 Cl 0.0000 0.5000 0.5000
F1 F 0.0000 0.0000 0.5000

No. 2
# GGA-PBE Rb2PClF5, optimized geometry
# Uncorrected formation energy ... -2.318 eV per atom
# E ... -78.81 eV for the cell shown
data_Rb2PClF5
_chemical_formula_sum 'Rb4 P2 Cl2 F10'
_cell_length_a 6.5127
_cell_length_b 6.5127
_cell_length_c 8.8615
_cell_angle_alpha 90.00
_cell_angle_beta 90.00
_cell_angle_gamma 90.00
_symmetry_space_group_name_H-M 'I 4 m m'
_symmetry_Int_Tables_number 107
_symmetry_space_group_name_Hall 'I 4 -2'
loop_
_atom_site_label
_atom_site_type_symbol
_atom_site_fract_x
_atom_site_fract_y
_atom_site_fract_z
Rb1 Rb 0.0000 0.5000 0.0000
P1 P 0.0000 0.0000 0.2458
Cl1 Cl 0.0000 0.0000 0.9326
F1 F 0.0000 0.0000 0.4335
F2 F 0.1890 0.1890 0.2515

No. 3
# GGA-PBE RbPCl2F, optimized geometry
# Uncorrected formation energy ... -0.724 eV per atom
# Energy above the most stable polymorph in this dataset ... 0 meV/atom
# E ... -15.56 eV for the cell shown
data_RbPCl2F
_chemical_formula_sum 'Rb1 P1 Cl2 F1'
_cell_length_a 5.7985
_cell_length_b 5.7985
_cell_length_c 3.6832
_cell_angle_alpha 90.00
_cell_angle_beta 90.00
_cell_angle_gamma 90.00
_symmetry_space_group_name_H-M 'P 4/m m m'
_symmetry_Int_Tables_number 123
_symmetry_space_group_name_Hall '-P 4 2'
loop_
_atom_site_label
_atom_site_type_symbol
_atom_site_fract_x
_atom_site_fract_y
_atom_site_fract_z
Rb1 Rb 0.0000 0.0000 0.0000
P1 P 0.5000 0.5000 0.0000
Cl1 Cl 0.0000 0.5000 0.5000
F1 F 0.5000 0.5000 0.5000

No. 4
# GGA-PBE Rb2PCl6F, optimized geometry
# Uncorrected formation energy ... -1.172 eV per atom
# E ... -64.03 eV for the cell shown
data_Rb2PCl6F
_chemical_formula_sum 'Rb4 P2 Cl12 F2'
_cell_length_a 7.4204
_cell_length_b 7.4204
_cell_length_c 9.0939
_cell_angle_alpha 90.00
_cell_angle_beta 90.00
_cell_angle_gamma 90.00
_symmetry_space_group_name_H-M 'I 4/m m m'
_symmetry_Int_Tables_number 139
_symmetry_space_group_name_Hall '-I 4 2'
loop_
_atom_site_label
_atom_site_type_symbol
_atom_site_fract_x
_atom_site_fract_y
_atom_site_fract_z
Rb1 Rb 0.0000 0.5000 0.2500
P1 P 0.0000 0.0000 0.0000
Cl1 Cl 0.0000 0.0000 0.2372
Cl2 Cl 0.2138 0.2138 0.0000
F1 F 0.0000 0.0000 0.5000

No. 5
# GGA-PBE RbPClF6, optimized geometry
# Uncorrected formation energy ... -2.301 eV per atom
# E ... -40.16 eV for the cell shown
data_RbPClF6
_chemical_formula_sum 'Rb1 P1 Cl1 F6'
_cell_length_a 5.0191
_cell_length_b 5.5657
_cell_length_c 6.4678
_cell_angle_alpha 66.04
_cell_angle_beta 82.58
_cell_angle_gamma 83.93
_symmetry_space_group_name_H-M 'P 1'
_symmetry_Int_Tables_number 1
_symmetry_space_group_name_Hall 'P 1'
loop_
_atom_site_label
_atom_site_type_symbol
_atom_site_fract_x
_atom_site_fract_y
_atom_site_fract_z
Rb1 Rb 0.0000 0.0000 0.0000
P1 P 0.3319 0.3274 0.3647
Cl1 Cl 0.6871 0.6299 0.7999
F1 F 0.1239 0.5397 0.4290
F2 F 0.1332 0.0908 0.5116
F3 F 0.1739 0.3960 0.1373
F4 F 0.4904 0.2673 0.5851
F5 F 0.5317 0.5740 0.2099
F6 F 0.5420 0.1249 0.2899

No. 6
# GGA-PBE RbPCl2F, optimized geometry
# Uncorrected formation energy ... 0.405 eV per atom
# Energy above the most stable polymorph in this dataset ... 1129 meV/atom
# E ... -9.92 eV for the cell shown
data_RbPCl2F
_chemical_formula_sum 'Rb1 P1 Cl2 F1'
_cell_length_a 6.2721
_cell_length_b 6.2721
_cell_length_c 7.3293
_cell_angle_alpha 90.00
_cell_angle_beta 90.00
_cell_angle_gamma 90.00
_symmetry_space_group_name_H-M 'P 4/m m m'
_symmetry_Int_Tables_number 123
_symmetry_space_group_name_Hall '-P 4 2'
loop_
_atom_site_label
_atom_site_type_symbol
_atom_site_fract_x
_atom_site_fract_y
_atom_site_fract_z
Rb1 Rb 0.0000 0.0000 0.0000
P1 P 0.0000 0.0000 0.5000
Cl1 Cl 0.0000 0.5000 0.0000
F1 F 0.5000 0.5000 0.5000